No. 1
La3Ge2O, relaxed, DFT PBE; energy above the most stable polymorph in this dataset = 0.00 eV per formula unit; raw formation energy = -8.9 eV/f.u.
1.0
-0.8918 -3.1740 2.6137
8.4211 0.2325 3.1557
-4.8725 11.3853 12.1636
O La Ge
4 12 8
direct
0.7500 0.6237 0.3652
0.2500 0.3763 0.6348
0.7500 0.1237 0.1348
0.2500 0.8763 0.8652
0.2500 0.1384 0.5761
0.2500 0.6384 0.9239
0.7500 0.9934 0.8936
0.2500 0.0066 0.1064
0.7500 0.1702 0.2718
0.7500 0.3616 0.0761
0.7500 0.4934 0.6064
0.7500 0.6702 0.2282
0.7500 0.8616 0.4239
0.2500 0.3298 0.7718
0.2500 0.8298 0.7282
0.2500 0.5066 0.3936
0.7500 0.7480 0.0407
0.2500 0.4120 0.2167
0.2500 0.7520 0.5407
0.7500 0.5880 0.7833
0.7500 0.2480 0.4593
0.7500 0.0880 0.7167
0.2500 0.9120 0.2833
0.2500 0.2520 0.9593

---

No. 2
La2Ge3O9, relaxed, DFT PBE; raw formation energy = -33.3 eV/f.u.
1.0
-0.2914 5.1218 -2.7013
-7.7917 -0.2403 0.8519
3.5452 1.2585 8.0354
Ge O La
6 18 4
direct
0.4277 0.0741 0.8529
0.6640 0.5112 0.3398
0.5723 0.9259 0.1471
0.2385 0.5145 0.0030
0.3360 0.4888 0.6602
0.7615 0.4855 0.9970
0.8788 0.9881 0.3039
0.4673 0.3270 0.9540
0.5973 0.3163 0.3807
0.7096 0.0070 0.0007
0.1309 0.5184 0.7785
0.5327 0.6730 0.0460
0.1709 0.2941 0.4992
0.2904 0.9930 0.9993
0.4027 0.6837 0.6193
0.6463 0.4630 0.7651
0.9905 0.3253 0.9548
0.3537 0.5370 0.2349
0.0095 0.6747 0.0452
0.8691 0.4816 0.2215
0.1212 0.0119 0.6961
0.8291 0.7059 0.5008
0.5803 0.0311 0.6953
0.4197 0.9689 0.3047
0.8669 0.8004 0.7829
0.1878 0.8138 0.4145
0.8122 0.1862 0.5855
0.1331 0.1996 0.2171

---

No. 3
La4GeO8, relaxed, DFT PBE; raw formation energy = -40.7 eV/f.u.
1.0
5.7786 0.0000 0.0000
0.0000 7.6620 0.0000
0.0000 0.0000 19.1464
O Ge La
32 4 16
direct
0.6943 0.2500 0.6032
0.7390 0.9797 0.9931
0.6319 0.4368 0.7267
0.7390 0.5203 0.9931
0.7360 0.2500 0.8806
0.2360 0.7500 0.6194
0.3057 0.7500 0.3968
0.3681 0.9368 0.2733
0.6319 0.0632 0.7267
0.7833 0.7500 0.3350
0.2610 0.0203 0.0069
0.2610 0.4797 0.0069
0.2390 0.4797 0.5069
0.1943 0.7500 0.8968
0.2167 0.2500 0.6650
0.7640 0.2500 0.3806
0.2390 0.0203 0.5069
0.1319 0.5632 0.7733
0.7610 0.9797 0.4931
0.2349 0.2500 0.8786
0.7167 0.7500 0.8350
0.1319 0.9368 0.7733
0.8057 0.2500 0.1032
0.8681 0.4368 0.2267
0.2833 0.2500 0.1650
0.7349 0.7500 0.6214
0.2651 0.2500 0.3786
0.7651 0.7500 0.1214
0.7610 0.5203 0.4931
0.2640 0.7500 0.1194
0.8681 0.0632 0.2267
0.3681 0.5632 0.2733
0.5223 0.2500 0.6817
0.9777 0.2500 0.1817
0.0223 0.7500 0.8183
0.4777 0.7500 0.3183
0.5208 0.5061 0.1001
0.5186 0.2500 0.2843
0.9814 0.2500 0.7843
0.4792 0.0061 0.8999
0.4792 0.4939 0.8999
0.0208 0.0061 0.3999
0.5208 0.9939 0.1001
0.0186 0.7500 0.2157
0.0173 0.7500 0.0160
0.4814 0.7500 0.7157
0.9792 0.9939 0.6001
0.9792 0.5061 0.6001
0.0208 0.4939 0.3999
0.4827 0.7500 0.5160
0.5173 0.2500 0.4840
0.9827 0.2500 0.9840

---

No. 4
La15Ge9O, relaxed, DFT PBE; raw formation energy = -22.9 eV/f.u.
1.0
6.9961 0.0000 0.0000
0.0000 15.4738 0.0000
0.0000 -7.7369 13.4007
La Ge O
30 18 2
direct
0.4830 0.6555 0.9788
0.9830 0.3445 0.0212
0.9830 0.6767 0.6555
0.7715 0.2545 0.7455
0.2715 0.7455 0.4911
0.2191 0.4125 0.8250
0.9830 0.9788 0.3233
0.2014 0.8371 0.9185
0.9830 0.6767 0.0212
0.4830 0.0212 0.6767
0.9830 0.9788 0.6555
0.7715 0.4911 0.7455
0.4830 0.3233 0.9788
0.7191 0.5875 0.4125
0.9830 0.3445 0.3233
0.2014 0.0815 0.1629
0.7191 0.8250 0.4125
0.2715 0.7455 0.2545
0.4830 0.3233 0.3445
0.2191 0.4125 0.5875
0.7191 0.5875 0.1750
0.2014 0.0815 0.9185
0.2715 0.5089 0.2545
0.7715 0.2545 0.5089
0.7014 0.9185 0.8371
0.2191 0.1750 0.5875
0.4830 0.6555 0.6767
0.7014 0.9185 0.0815
0.7014 0.1629 0.0815
0.4830 0.0212 0.3445
0.6899 0.3988 0.1994
0.7622 0.1330 0.8670
0.6899 0.8006 0.6012
0.7525 0.4674 0.9347
0.2525 0.5326 0.0653
0.6899 0.8006 0.1994
0.1899 0.1994 0.8006
0.2622 0.2660 0.1330
0.2622 0.8670 0.1330
0.7622 0.1330 0.2660
0.1899 0.6012 0.8006
0.2525 0.5326 0.4674
0.2622 0.8670 0.7340
0.7525 0.0653 0.5326
0.1899 0.1994 0.3988
0.7622 0.7340 0.8670
0.2525 0.9347 0.4674
0.7525 0.4674 0.5326
0.4877 0.6667 0.3333
0.9877 0.3333 0.6667

---

No. 5
La12Ge3O5, relaxed, DFT PBE; raw formation energy = -32.9 eV/f.u.
1.0
-0.3791 -3.0121 -13.6933
-9.4772 -7.8147 6.7702
-2.9383 13.5848 1.8819
La Ge O
48 12 20
direct
0.7970 0.3150 0.9106
0.7030 0.5894 0.1850
0.0894 0.9044 0.3864
0.8150 0.9044 0.0180
0.0180 0.6136 0.7030
0.4106 0.2970 0.3150
0.1136 0.7030 0.5180
0.9820 0.3864 0.2970
0.6136 0.5956 0.9106
0.0180 0.4044 0.8150
0.2970 0.8864 0.9820
0.5180 0.3150 0.9044
0.9106 0.0956 0.6136
0.9044 0.0894 0.8864
0.1850 0.0894 0.7030
0.4106 0.1136 0.5956
0.3864 0.9820 0.7970
0.4820 0.7970 0.8864
0.9820 0.5956 0.1850
0.3150 0.7970 0.4106
0.6850 0.2030 0.5894
0.2030 0.5180 0.6136
0.0956 0.1850 0.4820
0.2030 0.6850 0.0894
0.2970 0.4106 0.8150
0.9106 0.8150 0.7970
0.5894 0.8864 0.4044
0.1850 0.0956 0.9820
0.3864 0.4044 0.0894
0.4820 0.6850 0.0956
0.7030 0.1136 0.0180
0.3150 0.5180 0.4044
0.0894 0.1850 0.2030
0.9044 0.8150 0.5180
0.8150 0.9106 0.2970
0.5180 0.2030 0.1136
0.0956 0.9106 0.1136
0.6136 0.0180 0.2030
0.5956 0.9820 0.6850
0.6850 0.4820 0.5956
0.1136 0.4106 0.0956
0.5894 0.7030 0.6850
0.4044 0.0180 0.3150
0.8864 0.2970 0.4820
0.8864 0.5894 0.9044
0.4044 0.3864 0.5894
0.5956 0.6136 0.4106
0.7970 0.4820 0.3864
0.2500 0.6250 0.8750
0.1250 0.8750 0.7500
0.6250 0.2500 0.3750
0.3750 0.6250 0.2500
0.3750 0.7500 0.6250
0.6250 0.3750 0.7500
0.7500 0.8750 0.6250
0.7500 0.3750 0.1250
0.8750 0.1250 0.2500
0.1250 0.2500 0.8750
0.8750 0.7500 0.1250
0.2500 0.1250 0.3750
0.0000 0.0000 0.0000
0.0000 0.5000 0.0000
0.2500 0.3750 0.6250
0.7500 0.1250 0.8750
0.5000 0.5000 0.0000
0.8750 0.2500 0.6250
0.3750 0.1250 0.7500
0.5000 0.5000 0.5000
0.1250 0.7500 0.3750
0.5000 0.0000 0.5000
0.5000 0.0000 0.0000
0.6250 0.7500 0.8750
0.2500 0.8750 0.1250
0.7500 0.6250 0.3750
0.8750 0.6250 0.7500
0.3750 0.2500 0.1250
0.0000 0.5000 0.5000
0.1250 0.3750 0.2500
0.6250 0.8750 0.2500
0.0000 0.0000 0.5000

---

No. 6
La3GeO6, relaxed, DFT PBE; raw formation energy = -29.2 eV/f.u.
1.0
-2.1939 5.3400 0.3620
-4.2433 -1.3290 -6.1112
-4.5022 -2.2324 5.6449
La Ge O
6 2 12
direct
0.4773 0.3027 0.0876
0.9354 0.6036 0.3964
0.9773 0.6973 0.9124
0.4354 0.3964 0.6036
0.4773 0.9124 0.6973
0.9773 0.0876 0.3027
0.9997 0.1718 0.8282
0.4997 0.8282 0.1718
0.2075 0.3507 0.3311
0.1703 0.7737 0.2263
0.2075 0.6689 0.6493
0.7075 0.6493 0.6689
0.7075 0.3311 0.3507
0.7092 0.9683 0.0317
0.1505 0.3960 0.8967
0.6703 0.2263 0.7737
0.1505 0.1033 0.6040
0.2092 0.0317 0.9683
0.6505 0.6040 0.1033
0.6505 0.8967 0.3960

---

No. 7
La5Ge2O, relaxed, DFT PBE; raw formation energy = -7.5 eV/f.u.
1.0
-3.5778 4.6975 -0.7343
0.5188 -4.2358 -5.5159
-10.2986 -7.1385 4.5132
O La Ge
2 10 4
direct
0.7784 0.5569 0.7500
0.2216 0.4431 0.2500
0.7029 0.4058 0.2500
0.9435 0.8869 0.8689
0.3422 0.6845 0.0994
0.0565 0.1131 0.1311
0.6578 0.3155 0.5994
0.6578 0.3155 0.9006
0.2971 0.5942 0.7500
0.9435 0.8869 0.6311
0.3422 0.6845 0.4006
0.0565 0.1131 0.3689
0.8267 0.6534 0.0651
0.8267 0.6534 0.4349
0.1733 0.3466 0.9349
0.1733 0.3466 0.5651

---

No. 8
La3GeO2, relaxed, DFT PBE; raw formation energy = -12.2 eV/f.u.
1.0
-1.8721 3.0554 -0.2373
-5.1149 -3.3322 -2.5513
-3.9394 -1.6346 10.0327
La O Ge
6 4 2
direct
0.0000 0.7595 0.5991
0.5000 0.2631 0.6842
0.0000 0.2595 0.4009
0.5000 0.6345 0.9075
0.5000 0.1345 0.0925
0.5000 0.7631 0.3158
0.5000 0.0137 0.5044
0.5000 0.5137 0.4956
0.0000 0.5169 0.7569
0.0000 0.0169 0.2431
0.0000 0.0137 0.8579
0.0000 0.5137 0.1421

---

No. 9
La2GeO, relaxed, DFT PBE; energy above the most stable polymorph in this dataset = 0.00 eV per formula unit; raw formation energy = -7.4 eV/f.u.
1.0
4.2164 0.0000 0.0000
0.0000 9.0590 0.0000
0.0000 0.0000 11.6113
La O Ge
8 4 4
direct
0.2500 0.5106 0.7280
0.7500 0.4894 0.2720
0.2500 0.3343 0.0196
0.7500 0.6657 0.9804
0.7500 0.9894 0.2280
0.2500 0.0106 0.7720
0.7500 0.1657 0.5196
0.2500 0.8343 0.4804
0.2500 0.5631 0.9220
0.7500 0.4369 0.0780
0.2500 0.0631 0.5780
0.7500 0.9369 0.4220
0.2500 0.2404 0.3006
0.7500 0.7596 0.6994
0.2500 0.7404 0.1994
0.7500 0.2596 0.8006

---

No. 10
La2GeO, relaxed, DFT PBE; energy above the most stable polymorph in this dataset = 0.34 eV per formula unit; raw formation energy = -7.1 eV/f.u.
1.0
4.9112 0.0000 -2.2306
-0.0323 5.7040 -0.0704
0.2922 0.0444 7.1709
Ge O La
2 2 4
direct
0.3630 0.6213 0.9537
0.8630 0.1213 0.9536
0.3623 0.8712 0.4536
0.3638 0.3713 0.4536
0.0325 0.6187 0.2349
0.6935 0.6237 0.6722
0.2512 0.1237 0.6721
0.4749 0.1188 0.2350

---

No. 11
La2GeO2, relaxed, DFT PBE; raw formation energy = -12.2 eV/f.u.
1.0
-0.0264 -3.5508 1.8582
2.5568 1.4160 2.7422
-4.1098 1.0288 6.2294
Ge La O
1 2 2
direct
0.0000 0.0000 0.0000
0.6606 0.6606 0.6788
0.3394 0.3394 0.3212
0.7500 0.2500 0.5000
0.2500 0.7500 0.5000

---

No. 12
La4Ge2O, relaxed, DFT PBE; energy above the most stable polymorph in this dataset = 0.01 eV per formula unit; raw formation energy = -9.1 eV/f.u.
1.0
4.8085 0.0000 0.0000
0.0000 4.8085 0.0000
2.4042 2.4042 8.2570
Ge La O
2 4 1
direct
0.3647 0.3647 0.2707
0.6353 0.6353 0.7293
0.5000 0.0000 0.0000
0.1789 0.1789 0.6422
0.8211 0.8211 0.3578
0.0000 0.5000 0.0000
0.0000 0.0000 0.0000